{"formula": "MnRePt", "functional": "PBE", "state": "relaxed", "total_energy_ev_per_atom": -9.0426, "e_above_lowest_polymorph_mev_per_atom": 237, "cell": [[-2.022, 1.845, -2.964], [-3.442, -1.801, 1.227], [-3.094, 6.273, 0.525]], "species": ["Mn", "Mn", "Pt", "Pt", "Re", "Re"], "fractional_positions": [[0.468, 0.250, 0.782], [0.532, 0.750, 0.218], [0.251, 0.250, 0.499], [0.749, 0.750, 0.501], [0.747, 0.250, 0.002], [0.253, 0.750, 0.998]]}